## La12Y2Th (PBE)

Data for crystalline La12Y2Th at its relaxed geometry.

As for the theoretical density: 6.4 Mg/m³. The calculation puts the total magnetic moment at 0.00 μB per cell. Its calculated formation energy is 2.1 eV/f.u.

```
La12Y2Th
1.0
-3.839 0.488 5.777
6.867 -0.733 0.813
2.714 25.073 -0.313
La Th Y
24 2 4
direct
0.781 0.719 0.442
0.228 0.728 0.584
0.000 0.000 0.202
0.746 0.246 0.875
0.000 0.000 0.324
0.754 0.254 0.125
0.719 0.781 0.558
0.745 0.755 0.072
0.219 0.281 0.442
0.254 0.754 0.875
0.245 0.255 0.928
0.728 0.228 0.416
0.000 0.000 0.798
0.255 0.245 0.072
0.500 0.500 0.798
0.272 0.772 0.416
0.500 0.500 0.324
0.246 0.746 0.125
0.500 0.500 0.202
0.772 0.272 0.584
0.281 0.219 0.558
0.500 0.500 0.676
0.000 0.000 0.676
0.755 0.745 0.928
0.500 0.000 0.998
0.000 0.500 0.002
0.500 0.000 0.728
0.500 0.000 0.268
0.000 0.500 0.732
0.000 0.500 0.272
```



## LaY6Th8 (PBE)

Data for crystalline LaY6Th8 at its relaxed geometry.

As for the theoretical density: 8.5 Mg/m³. The calculation puts the total magnetic moment at 0.00 μB per cell. Its calculated formation energy is 2.0 eV/f.u.

```
LaY6Th8
1.0
-4.080 -0.650 -7.849
-8.380 -2.878 -0.418
-6.515 5.605 -2.090
Th Y La
8 6 1
direct
0.878 0.335 0.594
0.577 0.577 0.269
0.193 0.878 0.594
0.335 0.193 0.594
0.665 0.807 0.406
0.423 0.423 0.731
0.807 0.122 0.406
0.122 0.665 0.406
0.068 0.530 0.128
0.470 0.726 0.872
0.726 0.932 0.872
0.530 0.274 0.128
0.932 0.470 0.872
0.274 0.068 0.128
0.000 0.000 0.000
```



## La8Y2Th (PBE)

Data for crystalline La8Y2Th at its relaxed geometry.

As for the theoretical density: 6.1 Mg/m³. The calculation puts the total magnetic moment at 0.00 μB per cell. Its calculated formation energy is 3.4 eV/f.u.

```
La8Y2Th
1.0
-6.959 -0.673 2.673
0.603 -3.348 8.173
-2.694 6.957 0.613
La Y Th
8 2 1
direct
0.738 0.748 0.755
0.299 0.127 0.701
0.245 0.748 0.262
0.396 0.700 0.604
0.604 0.300 0.396
0.755 0.252 0.738
0.262 0.252 0.245
0.701 0.873 0.299
0.837 0.454 0.163
0.163 0.546 0.837
0.000 0.000 0.000
```



## La4YTh2 (PBE)

Data for crystalline La4YTh2 at its relaxed geometry.

As for the theoretical density: 7.6 Mg/m³. The calculation puts the total magnetic moment at 0.00 μB per cell. Its calculated formation energy is 0.3 eV/f.u.

```
La4YTh2
1.0
-1.527 -1.092 -3.143
2.092 -0.576 -2.949
2.738 -20.599 3.696
Th La Y
2 4 1
direct
0.189 0.189 0.432
0.811 0.811 0.568
0.903 0.903 0.291
0.097 0.097 0.709
0.380 0.380 0.859
0.620 0.620 0.141
0.000 0.000 0.000
```



## La3YTh3 (PBE)

Data for crystalline La3YTh3 at its relaxed geometry.

As for the theoretical density: 8.2 Mg/m³. The calculation puts the total magnetic moment at 0.00 μB per cell. Its calculated formation energy is 0.5 eV/f.u.

```
La3YTh3
1.0
5.958 0.000 0.000
0.000 8.389 -4.844
0.000 0.000 9.687
La Th Y
6 6 2
direct
0.250 0.203 0.246
0.250 0.754 0.956
0.250 0.044 0.797
0.750 0.797 0.754
0.750 0.956 0.203
0.750 0.246 0.044
0.750 0.506 0.894
0.250 0.494 0.106
0.750 0.106 0.611
0.750 0.389 0.494
0.250 0.611 0.506
0.250 0.894 0.389
0.750 0.667 0.333
0.250 0.333 0.667
```



## La8Y4Th (PBE)

Data for crystalline La8Y4Th at its relaxed geometry.

As for the theoretical density: 5.5 Mg/m³. The calculation puts the total magnetic moment at 0.00 μB per cell. Its calculated formation energy is 6.0 eV/f.u.

```
La8Y4Th
1.0
-2.212 -7.243 2.535
3.931 1.212 6.845
-6.596 3.155 3.211
Y La Th
4 8 1
direct
0.500 0.000 0.500
0.500 0.500 0.000
0.000 0.500 0.500
0.000 0.000 0.000
0.239 0.239 0.239
0.239 0.239 0.760
0.761 0.761 0.240
0.240 0.761 0.761
0.761 0.761 0.761
0.760 0.239 0.239
0.239 0.760 0.239
0.761 0.240 0.761
0.500 0.500 0.500
```



## La5Y2Th (PBE)

Data for crystalline La5Y2Th at its relaxed geometry.

Its energy relative to the lowest polymorph listed for this composition is 93.9 meV per atom. As for the theoretical density: 6.3 Mg/m³. The calculation puts the total magnetic moment at 0.00 μB per cell. Its calculated formation energy is 0.9 eV/f.u.

```
La5Y2Th
1.0
-1.882 -4.863 -2.304
4.700 -0.719 4.731
-11.893 -0.929 11.675
Th Y La
2 4 10
direct
0.740 0.480 0.750
0.260 0.520 0.250
0.224 0.449 0.637
0.776 0.551 0.137
0.224 0.449 0.863
0.776 0.551 0.363
0.467 0.934 0.750
0.377 0.755 0.450
0.075 0.150 0.403
0.075 0.150 0.097
0.623 0.245 0.550
0.533 0.066 0.250
0.377 0.755 0.050
0.925 0.850 0.903
0.623 0.245 0.950
0.925 0.850 0.597
```



## LaY14Th (PBE)

Data for crystalline LaY14Th at its relaxed geometry.

As for the theoretical density: 5.1 Mg/m³. The calculation puts the total magnetic moment at 0.00 μB per cell. Its calculated formation energy is 0.5 eV/f.u.

```
LaY14Th
1.0
-3.340 -2.785 -5.724
3.678 -6.120 0.831
-7.313 -3.579 6.009
Y La Th
14 1 1
direct
0.628 0.372 0.250
0.875 0.625 0.000
0.122 0.878 0.250
0.628 0.878 0.750
0.122 0.372 0.250
0.875 0.125 0.500
0.875 0.625 0.500
0.122 0.372 0.750
0.628 0.372 0.750
0.122 0.878 0.750
0.628 0.878 0.250
0.375 0.125 0.000
0.375 0.125 0.500
0.375 0.625 0.500
0.375 0.625 0.000
0.875 0.125 0.000
```



## La5Y4Th2 (PBE)

Data for crystalline La5Y4Th2 at its relaxed geometry.

As for the theoretical density: 6.6 Mg/m³. The calculation puts the total magnetic moment at 0.00 μB per cell. Its calculated formation energy is 1.1 eV/f.u.

```
La5Y4Th2
1.0
-1.562 -1.499 -2.809
8.072 -2.587 -3.108
-0.282 -10.471 5.745
La Th Y
5 2 4
direct
0.000 0.500 0.000
0.000 0.805 0.172
0.000 0.415 0.288
0.000 0.195 0.828
0.000 0.585 0.712
0.000 0.049 0.367
0.000 0.951 0.633
0.500 0.297 0.549
0.500 0.846 0.898
0.500 0.703 0.451
0.500 0.154 0.102
```



## LaY6Th4 (PBE)

Data for crystalline LaY6Th4 at its relaxed geometry.

As for the theoretical density: 7.3 Mg/m³. The calculation puts the total magnetic moment at 0.00 μB per cell. Its calculated formation energy is 1.6 eV/f.u.

```
LaY6Th4
1.0
5.792 0.000 0.000
-2.896 4.825 0.000
0.000 0.000 26.136
Th La Y
8 2 12
direct
0.155 0.310 0.454
0.845 0.690 0.954
0.533 0.065 0.876
0.155 0.310 0.046
0.533 0.065 0.624
0.467 0.935 0.376
0.845 0.690 0.546
0.467 0.935 0.124
0.199 0.397 0.750
0.801 0.603 0.250
0.810 0.620 0.401
0.865 0.730 0.820
0.500 0.000 0.500
0.135 0.270 0.320
0.500 0.000 0.000
0.810 0.620 0.099
0.190 0.380 0.599
0.135 0.270 0.180
0.536 0.073 0.750
0.464 0.927 0.250
0.190 0.380 0.901
0.865 0.730 0.680
```



## LaY2Th (PBE)

Data for crystalline LaY2Th at its relaxed geometry.

Its energy relative to the lowest polymorph listed for this composition is 2.2 meV per atom. As for the theoretical density: 6.8 Mg/m³. The calculation puts the total magnetic moment at 0.00 μB per cell. Its calculated formation energy is 0.1 eV/f.u.

```
LaY2Th
1.0
-0.256 -1.791 3.140
3.373 -1.250 -0.438
3.655 8.131 4.935
Y Th La
2 1 1
direct
0.000 0.000 0.737
0.000 0.000 0.263
0.500 0.500 0.500
0.500 0.500 0.000
```



## La2Y5Th4 (PBE)

Data for crystalline La2Y5Th4 at its relaxed geometry.

As for the theoretical density: 7.4 Mg/m³. The calculation puts the total magnetic moment at 0.00 μB per cell. Its calculated formation energy is 1.4 eV/f.u.

```
La2Y5Th4
1.0
-1.334 -2.638 1.915
7.156 -4.665 -1.440
4.987 6.528 9.224
La Y Th
2 5 4
direct
0.727 0.822 0.453
0.273 0.178 0.547
0.129 0.044 0.258
0.500 0.000 0.000
0.183 0.469 0.365
0.871 0.956 0.742
0.817 0.531 0.635
0.956 0.649 0.912
0.044 0.351 0.088
0.416 0.315 0.832
0.584 0.685 0.168
```



## La3Y2Th (PBE)

Data for crystalline La3Y2Th at its relaxed geometry.

Its energy relative to the lowest polymorph listed for this composition is 130.4 meV per atom. As for the theoretical density: 6.6 Mg/m³. The calculation puts the total magnetic moment at 0.00 μB per cell. Its calculated formation energy is 1.0 eV/f.u.

```
La3Y2Th
1.0
4.815 0.122 -1.249
-0.436 4.797 -1.249
1.790 2.011 17.025
Th Y La
2 4 6
direct
0.673 0.673 0.345
0.327 0.327 0.655
0.750 0.250 0.500
0.250 0.750 0.500
0.748 0.252 0.000
0.252 0.748 0.000
0.649 0.649 0.836
0.168 0.168 0.336
0.351 0.351 0.164
0.832 0.832 0.664
0.813 0.813 0.164
0.187 0.187 0.836
```



## La5Y6Th (PBE)

Data for crystalline La5Y6Th at its relaxed geometry.

As for the theoretical density: 5.9 Mg/m³. The calculation puts the total magnetic moment at 0.00 μB per cell. Its calculated formation energy is 0.2 eV/f.u.

```
La5Y6Th
1.0
-4.340 4.611 -0.366
-6.173 -1.427 0.256
-1.226 2.671 11.523
La Y Th
5 6 1
direct
0.833 0.334 0.500
0.333 0.333 0.000
0.167 0.666 0.500
0.667 0.667 0.000
0.500 0.000 0.500
0.247 0.000 0.247
0.411 0.671 0.753
0.589 0.329 0.247
0.082 0.329 0.753
0.753 0.000 0.753
0.918 0.671 0.247
0.000 0.000 0.000
```



## La2YTh2 (PBE)

Data for crystalline La2YTh2 at its relaxed geometry.

As for the theoretical density: 8.1 Mg/m³. The calculation puts the total magnetic moment at 0.00 μB per cell. Its calculated formation energy is 0.2 eV/f.u.

```
La2YTh2
1.0
-0.061 3.239 -1.604
1.209 -1.494 -3.062
-12.827 -2.989 -1.474
Th La Y
2 2 1
direct
0.204 0.204 0.407
0.796 0.796 0.593
0.605 0.605 0.209
0.395 0.395 0.791
0.000 0.000 0.000
```



## LaY7Th3 (PBE)

Data for crystalline LaY7Th3 at its relaxed geometry.

As for the theoretical density: 6.4 Mg/m³. The calculation puts the total magnetic moment at 0.00 μB per cell. Its calculated formation energy is 2.4 eV/f.u.

```
LaY7Th3
1.0
8.626 0.000 0.000
0.000 7.127 0.000
0.000 -3.564 6.172
Th Y La
3 7 1
direct
0.784 0.501 0.001
0.784 0.999 0.499
0.784 0.501 0.499
0.454 0.336 0.168
0.110 0.666 0.833
0.454 0.832 0.168
0.110 0.167 0.833
0.112 0.667 0.333
0.110 0.167 0.334
0.454 0.832 0.664
0.458 0.333 0.667
```



## LaY3Th (PBE)

Data for crystalline LaY3Th at its relaxed geometry.

Its energy relative to the lowest polymorph listed for this composition is 150.4 meV per atom. As for the theoretical density: 6.2 Mg/m³. The calculation puts the total magnetic moment at 0.00 μB per cell. Its calculated formation energy is 1.0 eV/f.u.

```
LaY3Th
1.0
-2.284 -1.293 -2.243
7.836 -3.547 -3.278
1.172 -10.312 4.749
Y La Th
6 2 2
direct
0.993 0.986 0.731
0.302 0.605 0.859
0.802 0.604 0.368
0.007 0.014 0.269
0.198 0.396 0.632
0.698 0.395 0.141
0.902 0.804 0.052
0.098 0.196 0.948
0.400 0.801 0.541
0.600 0.199 0.459
```



## La6YTh2 (PBE)

Data for crystalline La6YTh2 at its relaxed geometry.

As for the theoretical density: 7.2 Mg/m³. The calculation puts the total magnetic moment at 0.00 μB per cell. Its calculated formation energy is 0.6 eV/f.u.

```
La6YTh2
1.0
-2.504 1.527 2.169
-1.008 -2.457 -2.501
3.618 -20.225 18.415
La Th Y
6 2 1
direct
0.333 0.667 0.893
0.000 0.000 0.437
0.333 0.667 0.107
0.000 0.000 0.223
0.000 0.000 0.563
0.000 0.000 0.777
0.333 0.667 0.330
0.333 0.667 0.670
0.000 0.000 0.000
```



## La2YTh3 (PBE)

Data for crystalline La2YTh3 at its relaxed geometry.

As for the theoretical density: 8.7 Mg/m³. The calculation puts the total magnetic moment at 0.00 μB per cell. Its calculated formation energy is 1.2 eV/f.u.

```
La2YTh3
1.0
6.801 0.000 0.000
0.000 10.015 -5.736
0.000 -2.429 7.369
La Th Y
4 6 2
direct
0.250 0.563 0.667
0.250 0.896 0.333
0.750 0.437 0.333
0.750 0.104 0.667
0.000 0.167 0.334
0.500 0.500 0.000
0.500 0.833 0.666
0.000 0.833 0.666
0.000 0.500 0.000
0.500 0.167 0.334
0.750 0.771 0.000
0.250 0.229 0.000
```



## La2Y4Th5 (PBE)

Data for crystalline La2Y4Th5 at its relaxed geometry.

As for the theoretical density: 8.2 Mg/m³. The calculation puts the total magnetic moment at 0.00 μB per cell. Its calculated formation energy is 0.4 eV/f.u.

```
La2Y4Th5
1.0
-2.095 1.462 -2.540
5.876 -2.279 -6.160
-6.294 -10.007 1.985
Th La Y
5 2 4
direct
0.137 0.090 0.274
0.863 0.910 0.726
0.770 0.175 0.540
0.230 0.825 0.460
0.500 0.000 0.000
0.594 0.736 0.188
0.406 0.264 0.812
0.682 0.452 0.365
0.046 0.351 0.092
0.318 0.548 0.635
0.954 0.649 0.908
```